A geometry-optimized MgFeOF2 structure. Source: Alexandria via LeMat-Bulk, functional GGA+U.

a = 3.997 Å, b = 3.997 Å, c = 4.018 Å
α = 90.00°, β = 90.00°, γ = 90.00°
Element x y z (fractional)
Mg1 0.000 0.000 0.000
Fe1 0.500 0.500 0.500
O1 0.500 0.500 0.000
F1 0.000 0.500 0.500
F2 0.500 0.000 0.500

The symmetry is P4/mmm. The calculated density comes out at 3.5 g/cm³. The calculation puts the final energy at -5.046 eV/atom.